Material: BaZnIr2
Method: DFT, PBE
State: relaxed

a = 4.885 Å, b = 4.885 Å, c = 9.449 Å
α = 75.02°, β = 75.02°, γ = 90.00°
Sites, in units of the cell vectors:
Ir1 0.875 0.590 0.750
Ir2 0.410 0.625 0.250
Ba1 0.750 0.250 0.500
Ir3 0.340 0.125 0.250
Zn1 0.500 0.500 0.000
Ir4 0.375 0.660 0.750
Zn2 0.250 0.750 0.500
Ba2 0.000 0.000 0.000

Output
The formation energy from the elements is 0.0247 eV per atom.